Version one
Compound: K2AsS
Source: Alexandria
Functional: PBE
Structure: optimized geometry

Summary:
For the spin magnetization, the calculation gives 3.0 μB/f.u.

Cell: 5.5763 5.5763 5.5763 Å, 60.00 60.00 60.00°
Site moments in Bohr magnetons follow the coordinates.
Atoms (fractional coordinates):
K1 0.2500 0.2500 0.2500  0.02
K2 0.7500 0.7500 0.7500  0.02
S1 0.0000 0.0000 0.0000  0.43
As1 0.5000 0.5000 0.5000  0.98


Version two
Compound: K2AsS
Source: Alexandria
Functional: PBE
Structure: optimized geometry

Summary:
For the spin magnetization, the calculation gives 0.0 μB/f.u.

Cell: 11.7681 11.7681 8.6954 Å, 47.42 47.42 90.00°
Atoms (fractional coordinates):
K1 0.3750 0.5908 0.7500
K2 0.3408 0.6250 0.2500
K3 0.8750 0.6592 0.7500
K4 0.4092 0.1250 0.2500
As1 0.0000 0.0000 0.0000
As2 0.7500 0.2500 0.5000
S1 0.2500 0.7500 0.5000
S2 0.5000 0.5000 0.0000


Out of the structures above, which one is the most stable? Solution: version two.